Below is a relaxed SrCu3NiSe4 crystal, with properties calculated at the PBE-GGA level.

Results
Crystal system   cubic

Cell and atoms, written as CIF:
```
data_SrCu3NiSe4
_chemical_formula_sum 'Sr1 Cu3 Ni1 Se4'
_symmetry_space_group_name_H-M 'P -4 3 m'
_symmetry_Int_Tables_number 215
_symmetry_space_group_name_Hall 'P -4 2 3'
_cell_length_a 6.0102
_cell_length_b 6.0102
_cell_length_c 6.0102
_cell_angle_alpha 90.00
_cell_angle_beta 90.00
_cell_angle_gamma 90.00
loop_
_atom_site_label
_atom_site_type_symbol
_atom_site_fract_x
_atom_site_fract_y
_atom_site_fract_z
Sr1 Sr 0.0000 0.0000 0.0000
Cu1 Cu 0.0000 0.5000 0.5000
Ni1 Ni 0.5000 0.5000 0.5000
Se1 Se 0.2771 0.2771 0.7229
```

Below is a relaxed CuNiTeSe crystal, with properties calculated at the PBE-GGA level.

Results
Crystal system   trigonal

Cell and atoms, written as CIF:
```
data_CuNiTeSe
_chemical_formula_sum 'Cu6 Ni6 Te6 Se6'
_symmetry_space_group_name_H-M 'R -3 m'
_symmetry_Int_Tables_number 166
_symmetry_space_group_name_Hall '-R 3 2"'
_cell_length_a 3.7413
_cell_length_b 3.7413
_cell_length_c 40.2914
_cell_angle_alpha 90.00
_cell_angle_beta 90.00
_cell_angle_gamma 120.00
loop_
_atom_site_label
_atom_site_type_symbol
_atom_site_fract_x
_atom_site_fract_y
_atom_site_fract_z
Cu1 Cu 0.0000 0.0000 0.0953
Ni1 Ni 0.0000 0.0000 0.3960
Te1 Te 0.0000 0.0000 0.2018
Se1 Se 0.0000 0.0000 0.2915
```

Below is a relaxed TlCuNiSe2 crystal, with properties calculated at the PBE-GGA level.

Results
Crystal system   monoclinic

Cell and atoms, written as CIF:
```
data_TlCuNiSe2
_chemical_formula_sum 'Tl2 Cu2 Ni2 Se4'
_symmetry_space_group_name_H-M 'P 1 2/c 1'
_symmetry_Int_Tables_number 13
_cell_length_a 7.4496
_cell_length_b 5.5586
_cell_length_c 5.4279
_cell_angle_alpha 90.00
_cell_angle_beta 106.02
_cell_angle_gamma 90.00
loop_
_symmetry_equiv_pos_as_xyz
'x,y,z'
'-x,-y,-z'
'-x,y,-z+1/2'
'x,-y,z+1/2'
loop_
_atom_site_label
_atom_site_type_symbol
_atom_site_fract_x
_atom_site_fract_y
_atom_site_fract_z
Tl1 Tl 0.0000 0.2241 0.2500
Cu1 Cu 0.5000 0.0000 0.0000
Ni1 Ni 0.5000 0.4258 0.2500
Se1 Se 0.2819 0.3059 0.8722
```

Below is a relaxed TlCu2NiSe crystal, with properties calculated at the PBE-GGA level.

Results
Crystal system   tetragonal

Cell and atoms, written as CIF:
```
data_TlCu2NiSe
_chemical_formula_sum 'Tl1 Cu2 Ni1 Se1'
_symmetry_space_group_name_H-M 'P 4/m m m'
_symmetry_Int_Tables_number 123
_symmetry_space_group_name_Hall '-P 4 2'
_cell_length_a 4.5756
_cell_length_b 4.5756
_cell_length_c 4.8480
_cell_angle_alpha 90.00
_cell_angle_beta 90.00
_cell_angle_gamma 90.00
loop_
_atom_site_label
_atom_site_type_symbol
_atom_site_fract_x
_atom_site_fract_y
_atom_site_fract_z
Tl1 Tl 0.0000 0.0000 0.0000
Cu1 Cu 0.0000 0.5000 0.5000
Ni1 Ni 0.0000 0.0000 0.5000
Se1 Se 0.5000 0.5000 0.0000
```

Below is a relaxed VCuNi2Se crystal, with properties calculated at the PBE-GGA level.

Results
Crystal system   tetragonal

Cell and atoms, written as CIF:
```
data_VCuNi2Se
_chemical_formula_sum 'V1 Cu1 Ni2 Se1'
_symmetry_space_group_name_H-M 'P 4/m m m'
_symmetry_Int_Tables_number 123
_symmetry_space_group_name_Hall '-P 4 2'
_cell_length_a 4.3315
_cell_length_b 4.3315
_cell_length_c 4.5986
_cell_angle_alpha 90.00
_cell_angle_beta 90.00
_cell_angle_gamma 90.00
loop_
_atom_site_label
_atom_site_type_symbol
_atom_site_fract_x
_atom_site_fract_y
_atom_site_fract_z
V1 V 0.0000 0.0000 0.0000
Cu1 Cu 0.0000 0.0000 0.5000
Ni1 Ni 0.0000 0.5000 0.0000
Se1 Se 0.5000 0.5000 0.5000
```

Below is a relaxed ZnCuNi2Se crystal, with properties calculated at the PBE-GGA level.

Results
Crystal system   tetragonal

Cell and atoms, written as CIF:
```
data_ZnCuNi2Se
_chemical_formula_sum 'Zn1 Cu1 Ni2 Se1'
_symmetry_space_group_name_H-M 'P 4/m m m'
_symmetry_Int_Tables_number 123
_symmetry_space_group_name_Hall '-P 4 2'
_cell_length_a 4.4572
_cell_length_b 4.4572
_cell_length_c 4.4055
_cell_angle_alpha 90.00
_cell_angle_beta 90.00
_cell_angle_gamma 90.00
loop_
_atom_site_label
_atom_site_type_symbol
_atom_site_fract_x
_atom_site_fract_y
_atom_site_fract_z
Zn1 Zn 0.0000 0.0000 0.0000
Cu1 Cu 0.5000 0.5000 0.5000
Ni1 Ni 0.0000 0.5000 0.5000
Se1 Se 0.5000 0.5000 0.0000
```

Below is a relaxed ZnCu2NiSe crystal, with properties calculated at the PBE-GGA level.

Results
Crystal system   tetragonal

Cell and atoms, written as CIF:
```
data_ZnCu2NiSe
_chemical_formula_sum 'Zn1 Cu2 Ni1 Se1'
_symmetry_space_group_name_H-M 'P 4/m m m'
_symmetry_Int_Tables_number 123
_symmetry_space_group_name_Hall '-P 4 2'
_cell_length_a 4.5982
_cell_length_b 4.5982
_cell_length_c 4.2698
_cell_angle_alpha 90.00
_cell_angle_beta 90.00
_cell_angle_gamma 90.00
loop_
_atom_site_label
_atom_site_type_symbol
_atom_site_fract_x
_atom_site_fract_y
_atom_site_fract_z
Zn1 Zn 0.0000 0.0000 0.0000
Cu1 Cu 0.0000 0.5000 0.5000
Ni1 Ni 0.5000 0.5000 0.5000
Se1 Se 0.5000 0.5000 0.0000
```

Below is a relaxed ZnCu3NiSe4 crystal, with properties calculated at the PBE-GGA level.

Results
Crystal system   cubic

Cell and atoms, written as CIF:
```
data_ZnCu3NiSe4
_chemical_formula_sum 'Zn1 Cu3 Ni1 Se4'
_symmetry_space_group_name_H-M 'P -4 3 m'
_symmetry_Int_Tables_number 215
_symmetry_space_group_name_Hall 'P -4 2 3'
_cell_length_a 5.6436
_cell_length_b 5.6436
_cell_length_c 5.6436
_cell_angle_alpha 90.00
_cell_angle_beta 90.00
_cell_angle_gamma 90.00
loop_
_atom_site_label
_atom_site_type_symbol
_atom_site_fract_x
_atom_site_fract_y
_atom_site_fract_z
Zn1 Zn 0.0000 0.0000 0.0000
Cu1 Cu 0.0000 0.5000 0.5000
Ni1 Ni 0.5000 0.5000 0.5000
Se1 Se 0.2542 0.2542 0.7458
```

Below is a relaxed CuSiNi5 crystal, with properties calculated at the PBE-GGA level.

Results
Crystal system   tetragonal

Cell and atoms, written as CIF:
```
data_CuSiNi5
_chemical_formula_sum 'Cu1 Si1 Ni5'
_symmetry_space_group_name_H-M 'P 4/m m m'
_symmetry_Int_Tables_number 123
_symmetry_space_group_name_Hall '-P 4 2'
_cell_length_a 3.5946
_cell_length_b 3.5946
_cell_length_c 6.4677
_cell_angle_alpha 90.00
_cell_angle_beta 90.00
_cell_angle_gamma 90.00
loop_
_atom_site_label
_atom_site_type_symbol
_atom_site_fract_x
_atom_site_fract_y
_atom_site_fract_z
Cu1 Cu 0.0000 0.0000 0.0000
Si1 Si 0.5000 0.5000 0.5000
Ni1 Ni 0.0000 0.0000 0.5000
Ni2 Ni 0.0000 0.5000 0.2493
```

Below is a relaxed CuSiNi6 crystal, with properties calculated at the PBE-GGA level.

Results
Crystal system   monoclinic

Cell and atoms, written as CIF:
```
data_CuSiNi6
_chemical_formula_sum 'Cu2 Si2 Ni12'
_symmetry_space_group_name_H-M 'C 1 2/m 1'
_symmetry_Int_Tables_number 12
_cell_length_a 6.8048
_cell_length_b 4.7693
_cell_length_c 6.3537
_cell_angle_alpha 90.00
_cell_angle_beta 107.50
_cell_angle_gamma 90.00
loop_
_symmetry_equiv_pos_as_xyz
'x,y,z'
'-x,-y,-z'
'-x,y,-z'
'x,-y,z'
'x+1/2,y+1/2,z'
'-x+1/2,-y+1/2,-z'
'-x+1/2,y+1/2,-z'
'x+1/2,-y+1/2,z'
loop_
_atom_site_label
_atom_site_type_symbol
_atom_site_fract_x
_atom_site_fract_y
_atom_site_fract_z
Cu1 Cu 0.0000 0.0000 0.0000
Si1 Si 0.0000 0.5000 0.5000
Ni1 Ni 0.1324 0.5000 0.9231
Ni2 Ni 0.2041 0.2614 0.3052
```

Below is a relaxed CuSiNi4 crystal, with properties calculated at the PBE-GGA level.

Results
Crystal system   cubic

Cell and atoms, written as CIF:
```
data_CuSiNi4
_chemical_formula_sum 'Cu4 Si4 Ni16'
_symmetry_space_group_name_H-M 'F -4 3 m'
_symmetry_Int_Tables_number 216
_symmetry_space_group_name_Hall 'F -4 2 3'
_cell_length_a 6.5609
_cell_length_b 6.5609
_cell_length_c 6.5609
_cell_angle_alpha 90.00
_cell_angle_beta 90.00
_cell_angle_gamma 90.00
loop_
_atom_site_label
_atom_site_type_symbol
_atom_site_fract_x
_atom_site_fract_y
_atom_site_fract_z
Cu1 Cu 0.0000 0.0000 0.0000
Si1 Si 0.2500 0.2500 0.2500
Ni1 Ni 0.1250 0.1250 0.6250
```

Below is a relaxed CuSiNi3 crystal, with properties calculated at the PBE-GGA level.

Results
Crystal system   monoclinic

Cell and atoms, written as CIF:
```
data_CuSiNi3
_chemical_formula_sum 'Cu2 Si2 Ni6'
_symmetry_space_group_name_H-M 'P 1 21/m 1'
_symmetry_Int_Tables_number 11
_cell_length_a 4.2244
_cell_length_b 4.0891
_cell_length_c 6.7334
_cell_angle_alpha 90.00
_cell_angle_beta 107.51
_cell_angle_gamma 90.00
loop_
_symmetry_equiv_pos_as_xyz
'x,y,z'
'-x,-y,-z'
'-x,y+1/2,-z'
'x,-y+1/2,z'
loop_
_atom_site_label
_atom_site_type_symbol
_atom_site_fract_x
_atom_site_fract_y
_atom_site_fract_z
Cu1 Cu 0.0166 0.2500 0.4013
Si1 Si 0.2089 0.7500 0.0105
Ni1 Ni 0.2018 0.2500 0.8129
Ni2 Ni 0.3938 0.7500 0.4006
Ni3 Ni 0.4120 0.2500 0.1954
```

no.,formation energy (no corrections) (meV per atom),total magnetic moment (μB/f.u.),uncorrected energy (eV per formula unit)
1,-401,2.499,-37.296
2,-8,0.000,-16.534
3,-180,0.000,-20.113
4,622,0.000,-16.716
5,1158,1.914,-22.470
6,782,0.457,-16.507
7,482,0.000,-16.321
8,-195,0.017,-35.040
9,-36,1.707,-38.676
10,72,0.428,-43.628
11,103,0.714,-32.025
12,-226,0.000,-27.992